Density functional theory data (GGA-PBE) for LiBeIN2 after structural relaxation.

```
LiBeIN2
1.0
3.538 0.000 0.000
0.000 3.538 0.000
0.000 0.000 7.574
I Be Li N
1 1 1 2
direct
0.000 0.000 0.500
0.000 0.000 0.000
0.500 0.500 0.500
0.000 0.500 0.000
0.500 0.000 0.000
```

Values from the calculation:
Uncorrected energy, eV/atom: -3.987
Total magnetic moment, Bohr magnetons per cell: 1.725
ΔE_f (raw), eV/atom: 0.78